1.
# HfCoF2 | the Alexandria database | PBE with a Hubbard U | relaxed
# N(E_F) = 0.55 states/eV/atom
data_HfCoF2
_space_group_name_H-M_alt 'P 1'
_space_group_IT_number 1
_space_group_name_Hall 'P 1'
_cell_length_a 2.8614
_cell_length_b 2.8614
_cell_length_c 26.8296
_cell_angle_alpha 90.00
_cell_angle_beta 90.00
_cell_angle_gamma 120.00
loop_
_atom_site_label
_atom_site_type_symbol
_atom_site_fract_x
_atom_site_fract_y
_atom_site_fract_z
_atom_site_occupancy
Hf1 Hf 0.0000 0.0000 0.0000 1
Hf2 Hf 0.3333 0.6667 0.6667 1
Hf3 Hf 0.6667 0.3333 0.3333 1
Co1 Co 0.0000 0.0000 0.5000 1
Co2 Co 0.3333 0.6667 0.1667 1
Co3 Co 0.6667 0.3333 0.8333 1
F1 F 0.0000 0.0000 0.3907 1
F2 F 0.0000 0.0000 0.6093 1
F3 F 0.3333 0.6667 0.0574 1
F4 F 0.3333 0.6667 0.2759 1
F5 F 0.6667 0.3333 0.7241 1
F6 F 0.6667 0.3333 0.9426 1

2.
# HfCoF2 | the Alexandria database | PBE with a Hubbard U | relaxed
# N(E_F) = 0.27 states/eV/atom
data_HfCoF2
_space_group_name_H-M_alt 'P 1'
_space_group_IT_number 1
_space_group_name_Hall 'P 1'
_cell_length_a 3.8919
_cell_length_b 3.8919
_cell_length_c 14.8380
_cell_angle_alpha 90.00
_cell_angle_beta 90.00
_cell_angle_gamma 90.00
loop_
_atom_site_label
_atom_site_type_symbol
_atom_site_fract_x
_atom_site_fract_y
_atom_site_fract_z
_atom_site_occupancy
Hf1 Hf 0.0000 0.0000 0.0000 1
Hf2 Hf 0.0000 0.5000 0.2500 1
Hf3 Hf 0.5000 0.0000 0.7500 1
Hf4 Hf 0.5000 0.5000 0.5000 1
Co1 Co 0.0000 0.0000 0.5000 1
Co2 Co 0.0000 0.5000 0.7500 1
Co3 Co 0.5000 0.0000 0.2500 1
Co4 Co 0.5000 0.5000 0.0000 1
F1 F 0.1750 0.2500 0.1250 1
F2 F 0.2500 0.6750 0.3750 1
F3 F 0.2500 0.8250 0.8750 1
F4 F 0.3250 0.2500 0.6250 1
F5 F 0.6750 0.7500 0.6250 1
F6 F 0.7500 0.1750 0.8750 1
F7 F 0.7500 0.3250 0.3750 1
F8 F 0.8250 0.7500 0.1250 1

3.
# HfCoF2 | the Alexandria database | PBE with a Hubbard U | relaxed
# N(E_F) = 0.63 states/eV/atom
data_HfCoF2
_space_group_name_H-M_alt 'P 1'
_space_group_IT_number 1
_space_group_name_Hall 'P 1'
_cell_length_a 5.8987
_cell_length_b 5.8987
_cell_length_c 5.8987
_cell_angle_alpha 90.00
_cell_angle_beta 90.00
_cell_angle_gamma 90.00
loop_
_atom_site_label
_atom_site_type_symbol
_atom_site_fract_x
_atom_site_fract_y
_atom_site_fract_z
_atom_site_occupancy
Hf1 Hf 0.0000 0.0000 0.0000 1
Hf2 Hf 0.0000 0.5000 0.5000 1
Hf3 Hf 0.5000 0.0000 0.5000 1
Hf4 Hf 0.5000 0.5000 0.0000 1
Co1 Co 0.0000 0.0000 0.5000 1
Co2 Co 0.0000 0.5000 0.0000 1
Co3 Co 0.5000 0.0000 0.0000 1
Co4 Co 0.5000 0.5000 0.5000 1
F1 F 0.2500 0.2500 0.2500 1
F2 F 0.2500 0.2500 0.7500 1
F3 F 0.2500 0.7500 0.2500 1
F4 F 0.2500 0.7500 0.7500 1
F5 F 0.7500 0.2500 0.2500 1
F6 F 0.7500 0.2500 0.7500 1
F7 F 0.7500 0.7500 0.2500 1
F8 F 0.7500 0.7500 0.7500 1

The most stable of them is 1.

1.
# HfCo3F | the Alexandria database | PBE with a Hubbard U | relaxed
# N(E_F) = 0.45 states/eV/atom
data_HfCo3F
_space_group_name_H-M_alt 'P 1'
_space_group_IT_number 1
_space_group_name_Hall 'P 1'
_cell_length_a 4.1422
_cell_length_b 4.1422
_cell_length_c 4.1422
_cell_angle_alpha 90.00
_cell_angle_beta 90.00
_cell_angle_gamma 90.00
loop_
_atom_site_label
_atom_site_type_symbol
_atom_site_fract_x
_atom_site_fract_y
_atom_site_fract_z
_atom_site_occupancy
Hf1 Hf 0.0000 0.0000 0.0000 1
Co1 Co 0.0000 0.5000 0.5000 1
Co2 Co 0.5000 0.0000 0.5000 1
Co3 Co 0.5000 0.5000 0.0000 1
F1 F 0.5000 0.5000 0.5000 1

2.
# HfCo3F | the Alexandria database | PBE with a Hubbard U | relaxed
# N(E_F) = 0.38 states/eV/atom
data_HfCo3F
_space_group_name_H-M_alt 'P 1'
_space_group_IT_number 1
_space_group_name_Hall 'P 1'
_cell_length_a 4.6189
_cell_length_b 4.6189
_cell_length_c 4.6189
_cell_angle_alpha 90.00
_cell_angle_beta 90.00
_cell_angle_gamma 90.00
loop_
_atom_site_label
_atom_site_type_symbol
_atom_site_fract_x
_atom_site_fract_y
_atom_site_fract_z
_atom_site_occupancy
Hf1 Hf 0.0000 0.0000 0.0000 1
Co1 Co 0.0000 0.0000 0.5000 1
Co2 Co 0.0000 0.5000 0.0000 1
Co3 Co 0.5000 0.0000 0.0000 1
F1 F 0.5000 0.5000 0.5000 1

The most stable of them is 1.

1.
# Hf2CoF | the Alexandria database | PBE with a Hubbard U | relaxed
# N(E_F) = 1.21 states/eV/atom
data_Hf2CoF
_space_group_name_H-M_alt 'P 1'
_space_group_IT_number 1
_space_group_name_Hall 'P 1'
_cell_length_a 6.2576
_cell_length_b 6.2576
_cell_length_c 6.2576
_cell_angle_alpha 90.00
_cell_angle_beta 90.00
_cell_angle_gamma 90.00
loop_
_atom_site_label
_atom_site_type_symbol
_atom_site_fract_x
_atom_site_fract_y
_atom_site_fract_z
_atom_site_occupancy
Hf1 Hf 0.2500 0.2500 0.2500 1
Hf2 Hf 0.2500 0.2500 0.7500 1
Hf3 Hf 0.2500 0.7500 0.2500 1
Hf4 Hf 0.2500 0.7500 0.7500 1
Hf5 Hf 0.7500 0.2500 0.2500 1
Hf6 Hf 0.7500 0.2500 0.7500 1
Hf7 Hf 0.7500 0.7500 0.2500 1
Hf8 Hf 0.7500 0.7500 0.7500 1
Co1 Co 0.0000 0.0000 0.0000 1
Co2 Co 0.0000 0.5000 0.5000 1
Co3 Co 0.5000 0.0000 0.5000 1
Co4 Co 0.5000 0.5000 0.0000 1
F1 F 0.0000 0.0000 0.5000 1
F2 F 0.0000 0.5000 0.0000 1
F3 F 0.5000 0.0000 0.0000 1
F4 F 0.5000 0.5000 0.5000 1

2.
# Hf2CoF | the Alexandria database | PBE with a Hubbard U | relaxed
# N(E_F) = 0.77 states/eV/atom
data_Hf2CoF
_space_group_name_H-M_alt 'P 1'
_space_group_IT_number 1
_space_group_name_Hall 'P 1'
_cell_length_a 5.0153
_cell_length_b 5.0153
_cell_length_c 11.5637
_cell_angle_alpha 90.00
_cell_angle_beta 90.00
_cell_angle_gamma 90.00
loop_
_atom_site_label
_atom_site_type_symbol
_atom_site_fract_x
_atom_site_fract_y
_atom_site_fract_z
_atom_site_occupancy
Hf1 Hf 0.2286 0.2500 0.1250 1
Hf2 Hf 0.2500 0.7286 0.3750 1
Hf3 Hf 0.2500 0.7714 0.8750 1
Hf4 Hf 0.2714 0.2500 0.6250 1
Hf5 Hf 0.7286 0.7500 0.6250 1
Hf6 Hf 0.7500 0.2286 0.8750 1
Hf7 Hf 0.7500 0.2714 0.3750 1
Hf8 Hf 0.7714 0.7500 0.1250 1
Co1 Co 0.0000 0.0000 0.5000 1
Co2 Co 0.0000 0.5000 0.7500 1
Co3 Co 0.5000 0.0000 0.2500 1
Co4 Co 0.5000 0.5000 0.0000 1
F1 F 0.0000 0.0000 0.0000 1
F2 F 0.0000 0.5000 0.2500 1
F3 F 0.5000 0.0000 0.7500 1
F4 F 0.5000 0.5000 0.5000 1

The most stable of them is 1.

1.
# HfCoN2F | the Alexandria database | PBE with a Hubbard U | relaxed
# N(E_F) = 0.16 states/eV/atom
data_HfCoN2F
_space_group_name_H-M_alt 'P 1'
_space_group_IT_number 1
_space_group_name_Hall 'P 1'
_cell_length_a 3.7869
_cell_length_b 3.7869
_cell_length_c 3.6096
_cell_angle_alpha 90.00
_cell_angle_beta 90.00
_cell_angle_gamma 90.00
loop_
_atom_site_label
_atom_site_type_symbol
_atom_site_fract_x
_atom_site_fract_y
_atom_site_fract_z
_atom_site_occupancy
Hf1 Hf 0.0000 0.0000 0.0000 1
Co1 Co 0.5000 0.5000 0.5000 1
N1 N 0.0000 0.5000 0.5000 1
N2 N 0.5000 0.0000 0.5000 1
F1 F 0.5000 0.5000 0.0000 1

2.
# HfCoN2F | the Alexandria database | PBE with a Hubbard U | relaxed
# N(E_F) = 0.39 states/eV/atom
data_HfCoN2F
_space_group_name_H-M_alt 'P 1'
_space_group_IT_number 1
_space_group_name_Hall 'P 1'
_cell_length_a 4.1887
_cell_length_b 4.1887
_cell_length_c 4.0088
_cell_angle_alpha 90.00
_cell_angle_beta 90.00
_cell_angle_gamma 90.00
loop_
_atom_site_label
_atom_site_type_symbol
_atom_site_fract_x
_atom_site_fract_y
_atom_site_fract_z
_atom_site_occupancy
Hf1 Hf 0.0000 0.0000 0.0000 1
Co1 Co 0.5000 0.5000 0.5000 1
N1 N 0.0000 0.5000 0.0000 1
N2 N 0.5000 0.0000 0.0000 1
F1 F 0.0000 0.0000 0.5000 1

The most stable of them is 2.

1.
# HfCoNF2 | the Alexandria database | PBE with a Hubbard U | relaxed
# N(E_F) = 0.42 states/eV/atom
data_HfCoNF2
_space_group_name_H-M_alt 'P 1'
_space_group_IT_number 1
_space_group_name_Hall 'P 1'
_cell_length_a 3.7311
_cell_length_b 3.7311
_cell_length_c 4.0731
_cell_angle_alpha 90.00
_cell_angle_beta 90.00
_cell_angle_gamma 90.00
loop_
_atom_site_label
_atom_site_type_symbol
_atom_site_fract_x
_atom_site_fract_y
_atom_site_fract_z
_atom_site_occupancy
Hf1 Hf 0.0000 0.0000 0.0000 1
Co1 Co 0.5000 0.5000 0.5000 1
N1 N 0.5000 0.5000 0.0000 1
F1 F 0.0000 0.5000 0.5000 1
F2 F 0.5000 0.0000 0.5000 1

2.
# HfCoNF2 | the Alexandria database | PBE with a Hubbard U | relaxed
# N(E_F) = 0.41 states/eV/atom
data_HfCoNF2
_space_group_name_H-M_alt 'P 1'
_space_group_IT_number 1
_space_group_name_Hall 'P 1'
_cell_length_a 4.1148
_cell_length_b 4.1148
_cell_length_c 4.2111
_cell_angle_alpha 90.00
_cell_angle_beta 90.00
_cell_angle_gamma 90.00
loop_
_atom_site_label
_atom_site_type_symbol
_atom_site_fract_x
_atom_site_fract_y
_atom_site_fract_z
_atom_site_occupancy
Hf1 Hf 0.0000 0.0000 0.0000 1
Co1 Co 0.5000 0.5000 0.5000 1
N1 N 0.0000 0.0000 0.5000 1
F1 F 0.0000 0.5000 0.0000 1
F2 F 0.5000 0.0000 0.0000 1

The most stable of them is 2.

1.
# CoHgF3 | the Alexandria database | PBE with a Hubbard U | relaxed
# N(E_F) = 1.66 states/eV/atom
data_CoHgF3
_space_group_name_H-M_alt 'P 1'
_space_group_IT_number 1
_space_group_name_Hall 'P 1'
_cell_length_a 4.1091
_cell_length_b 4.1091
_cell_length_c 4.1091
_cell_angle_alpha 90.00
_cell_angle_beta 90.00
_cell_angle_gamma 90.00
loop_
_atom_site_label
_atom_site_type_symbol
_atom_site_fract_x
_atom_site_fract_y
_atom_site_fract_z
_atom_site_occupancy
Co1 Co 0.0000 0.0000 0.0000 1
Hg1 Hg 0.5000 0.5000 0.5000 1
F1 F 0.0000 0.0000 0.5000 1
F2 F 0.0000 0.5000 0.0000 1
F3 F 0.5000 0.0000 0.0000 1

2.
# CoHgF3 | the Alexandria database | PBE with a Hubbard U | relaxed
# N(E_F) = 5.08 states/eV/atom
data_CoHgF3
_space_group_name_H-M_alt 'P 1'
_space_group_IT_number 1
_space_group_name_Hall 'P 1'
_cell_length_a 4.5476
_cell_length_b 4.5476
_cell_length_c 4.5476
_cell_angle_alpha 90.00
_cell_angle_beta 90.00
_cell_angle_gamma 90.00
loop_
_atom_site_label
_atom_site_type_symbol
_atom_site_fract_x
_atom_site_fract_y
_atom_site_fract_z
_atom_site_occupancy
Co1 Co 0.0000 0.0000 0.0000 1
Hg1 Hg 0.5000 0.5000 0.5000 1
F1 F 0.0000 0.5000 0.5000 1
F2 F 0.5000 0.0000 0.5000 1
F3 F 0.5000 0.5000 0.0000 1

The most stable of them is 1.

1.
# Co3HgF | the Alexandria database | PBE with a Hubbard U | relaxed
# N(E_F) = 0.32 states/eV/atom
data_Co3HgF
_space_group_name_H-M_alt 'P 1'
_space_group_IT_number 1
_space_group_name_Hall 'P 1'
_cell_length_a 4.2245
_cell_length_b 4.2245
_cell_length_c 4.2245
_cell_angle_alpha 90.00
_cell_angle_beta 90.00
_cell_angle_gamma 90.00
loop_
_atom_site_label
_atom_site_type_symbol
_atom_site_fract_x
_atom_site_fract_y
_atom_site_fract_z
_atom_site_occupancy
Co1 Co 0.0000 0.0000 0.5000 1
Co2 Co 0.0000 0.5000 0.0000 1
Co3 Co 0.5000 0.0000 0.0000 1
Hg1 Hg 0.5000 0.5000 0.5000 1
F1 F 0.0000 0.0000 0.0000 1

2.
# Co3HgF | the Alexandria database | PBE with a Hubbard U | relaxed
# N(E_F) = 0.49 states/eV/atom
data_Co3HgF
_space_group_name_H-M_alt 'P 1'
_space_group_IT_number 1
_space_group_name_Hall 'P 1'
_cell_length_a 5.0012
_cell_length_b 5.0012
_cell_length_c 5.0012
_cell_angle_alpha 90.00
_cell_angle_beta 90.00
_cell_angle_gamma 90.00
loop_
_atom_site_label
_atom_site_type_symbol
_atom_site_fract_x
_atom_site_fract_y
_atom_site_fract_z
_atom_site_occupancy
Co1 Co 0.0000 0.0000 0.5000 1
Co2 Co 0.0000 0.5000 0.0000 1
Co3 Co 0.5000 0.0000 0.0000 1
Hg1 Hg 0.0000 0.0000 0.0000 1
F1 F 0.5000 0.5000 0.5000 1

The most stable of them is 1.

1.
# Na2CoHgF6 | the Alexandria database | PBE with a Hubbard U | relaxed
# N(E_F) = 1.19 states/eV/atom
data_Na2CoHgF6
_space_group_name_H-M_alt 'P 1'
_space_group_IT_number 1
_space_group_name_Hall 'P 1'
_cell_length_a 6.0802
_cell_length_b 6.0802
_cell_length_c 6.0802
_cell_angle_alpha 60.00
_cell_angle_beta 60.00
_cell_angle_gamma 60.00
loop_
_atom_site_label
_atom_site_type_symbol
_atom_site_fract_x
_atom_site_fract_y
_atom_site_fract_z
_atom_site_occupancy
Na1 Na 0.2500 0.2500 0.2500 1
Na2 Na 0.7500 0.7500 0.7500 1
Co1 Co 0.0000 0.0000 0.0000 1
Hg1 Hg 0.5000 0.5000 0.5000 1
F1 F 0.2345 0.2345 0.7655 1
F2 F 0.2345 0.7655 0.2345 1
F3 F 0.2345 0.7655 0.7655 1
F4 F 0.7655 0.2345 0.2345 1
F5 F 0.7655 0.2345 0.7655 1
F6 F 0.7655 0.7655 0.2345 1

2.
# Na2CoHgF6

Crystalline Na2CoHgF6 at its relaxed geometry (PBE with a Hubbard U, the Alexandria database).

Cell and atoms, written as CIF:
```
data_Na2CoHgF6
_space_group_name_H-M_alt 'P 1'
_space_group_IT_number 1
_space_group_name_Hall 'P 1'
_cell_length_a 6.0070
_cell_length_b 6.0070
_cell_length_c 4.4871
_cell_angle_alpha 90.00
_cell_angle_beta 90.00
_cell_angle_gamma 90.00
loop_
_atom_site_label
_atom_site_type_symbol
_atom_site_fract_x
_atom_site_fract_y
_atom_site_fract_z
_atom_site_occupancy
Na1 Na 0.0000 0.5000 0.0000 1
Na2 Na 0.5000 0.0000 0.0000 1
Co1 Co 0.0000 0.0000 0.6951 1
Hg1 Hg 0.5000 0.5000 0.6200 1
F1 F 0.0000 0.0000 0.2281 1
F2 F 0.2340 0.2340 0.7504 1
F3 F 0.2340 0.7660 0.7504 1
F4 F 0.5000 0.5000 0.1381 1
F5 F 0.7660 0.2340 0.7504 1
F6 F 0.7660 0.7660 0.7504 1
```

The most stable of them is 2.